1.
RbOs3Pb after structural relaxation, computed with PBE.

Cell lengths 4.9211, 4.9211, 4.9211 Å; angles 90.00, 90.00, 90.00 degrees
Last column: nearest neighbours and their distance in Å.
Space group Pm-3m (No. 221)
Asymmetric unit:
Rb: 0.0000 0.0000 0.0000 (multiplicity 1)  6 Os 2.46
Os: 0.0000 0.0000 0.5000 (multiplicity 3)  2 Rb 2.46
Pb: 0.5000 0.5000 0.5000 (multiplicity 1)  12 Os 3.48

Output
M_tot: 4.86 μB per formula unit
Crystal system: cubic
E_tot: -3.878 eV/atom
Energy above the lowest structure with this stoichiometry: 980 meV/atom

2.
Th3MnPd12 after structural relaxation, computed with PBE.

Cell lengths 4.1820, 4.1820, 16.3522 Å; angles 90.00, 90.00, 90.00 degrees
Last column: nearest neighbours and their distance in Å.
Space group P4/mmm (No. 123)
Asymmetric unit:
Th: 0.0000 0.0000 0.0000 (multiplicity 1)  12 Pd 2.96
Th: 0.0000 0.0000 0.2638 (multiplicity 2)  12 Pd 2.89-3.05
Mn: 0.0000 0.0000 0.5000 (multiplicity 1)  12 Pd 2.81-2.96
Pd: 0.0000 0.5000 0.1283 (multiplicity 4)  8 Pd 2.95-2.96, 4 Th 2.96-3.05
Pd: 0.0000 0.5000 0.3854 (multiplicity 4)  2 Mn 2.81, 8 Pd 2.81-2.98, 2 Th 2.89
Pd: 0.5000 0.5000 0.0000 (multiplicity 1)  4 Th 2.96, 8 Pd 2.96
Pd: 0.5000 0.5000 0.2552 (multiplicity 2)  8 Pd 2.95-2.98, 4 Th 2.96
Pd: 0.5000 0.5000 0.5000 (multiplicity 1)  8 Pd 2.81, 4 Mn 2.96

Output
M_tot: 4.76 μB per formula unit
Crystal system: tetragonal
E_tot: -6.642 eV/atom

3.
Ac12Fe5Ge3 after structural relaxation, computed with PBE.

Cell lengths 17.4738, 17.4738, 17.4738 Å; angles 90.00, 90.00, 90.00 degrees
Last column: nearest neighbours and their distance in Å.
Space group Ia-3d (No. 230)
Asymmetric unit:
Ac: 0.0293 0.0545 0.6516 (multiplicity 96)  2 Fe 2.58-2.86
Fe: 0.0000 0.0000 0.0000 (multiplicity 16)  6 Ac 2.86
Fe: 0.0000 0.2500 0.3750 (multiplicity 24)  4 Ac 2.58
Ge: 0.0000 0.2500 0.1250 (multiplicity 24)  8 Ac 3.34-3.48

Output
M_tot: 0.00 μB per formula unit
Crystal system: cubic
E_tot: -5.142 eV/atom

no.,energy relative to the elements (eV per atom),DOS(E_F) (states/eV/f.u.)
1,3.795,7.18
2,-0.783,2.45
3,0.131,14.20